[1]
# LiTmHg4

LiTmHg4 after structural relaxation (PBE, the Alexandria database).

Cell: 6.619 6.614 7.006 Å, 90.00 90.17 90.00°
Space group C2/m (No. 12)
One atom of each set of equivalent atoms:
1 Li 0.000 0.000 0.000 x2
2 Tm 0.000 0.500 0.500 x2
3 Hg 0.250 0.249 0.780 x8

Summary:
Crystal system: monoclinic
Uncorrected energy in eV/cell: -17.01
E_form in eV per atom: -0.15

=====

[2]
# LiTmHg

LiTmHg after structural relaxation (PBE, the Alexandria database).

Cell: 4.312 3.354 5.235 Å, 90.00 90.23 90.00°
Space group P2/m (No. 10)
One atom of each set of equivalent atoms:
1 Li 0.000 0.000 0.000 x1
2 Tm 0.500 0.000 0.500 x1
3 Hg 0.500 0.500 0.000 x1

Summary:
Crystal system: monoclinic
Uncorrected energy in eV/cell: -6.91
E_form in eV per atom: -0.08

=====

[3]
# Li3Tm2Hg4

Li3Tm2Hg4 after structural relaxation (PBE, the Alexandria database).

Cell: 8.672 4.828 9.323 Å, 90.00 94.94 90.00°
Space group C2/m (No. 12)
One atom of each set of equivalent atoms:
1 Li 0.000 0.000 0.000 x2
2 Li 0.150 0.500 0.575 x4
3 Tm 0.182 0.500 0.223 x4
4 Hg 0.025 0.000 0.348 x4
5 Hg 0.156 0.500 0.897 x4

Summary:
Crystal system: monoclinic
Uncorrected energy in eV/cell: -38.17
E_form in eV per atom: -0.35

=====

[4]
# LiTm8Hg2

LiTm8Hg2 after structural relaxation (PBE, the Alexandria database).

Cell: 17.532 5.183 6.867 Å, 90.00 106.47 90.00°
Space group C2/m (No. 12)
One atom of each set of equivalent atoms:
1 Li 0.000 0.000 0.000 x2
2 Tm 0.026 0.500 0.772 x4
3 Tm 0.093 0.000 0.456 x4
4 Tm 0.162 0.000 0.962 x4
5 Tm 0.192 0.500 0.291 x4
6 Hg 0.189 0.500 0.714 x4

Summary:
Crystal system: monoclinic
Uncorrected energy in eV/cell: -79.46
E_form in eV per atom: -0.13

=====

> E_form of number 4 (LiTm8Hg2)?

-0.13 eV per atom

=====

> Number 3 is which compound?

Li3Tm2Hg4